A relaxed structure of HoEr3Tm8. Source: Alexandria, functional GGA-PBE.

Cell: 7.5548 7.5548 15.1268 Å, 90.00 90.00 90.00°
With the nearest neighbours (Å) after each atom.
Space group I4/mmm (No. 139)
Unique sites:
Ho 0.0000 0.0000 0.0000 [2 per cell]  8 Tm 3.28
Er 0.0000 0.0000 0.5000 [2 per cell]  8 Tm 3.27
Er 0.0000 0.5000 0.2500 [4 per cell]  8 Tm 3.27
Tm 0.2503 0.2503 0.1250 [16 per cell]  3 Er 3.27, 1 Ho 3.28

- electronic total energy (eV per cell) = -90.64
- energy relative to the elements (eV per formula unit) = 8.7



A relaxed structure of Ho11Er4Tm9. Source: Alexandria, functional GGA-PBE.

Cell: 20.2399 20.7756 3.4812 Å, 90.00 90.00 90.00°
With the nearest neighbours (Å) after each atom.
Space group Cmmm (No. 65)
Unique sites:
Ho 0.0000 0.0000 0.0000 [2 per cell]  4 Ho 3.48-3.55, 8 Tm 3.49
Ho 0.0000 0.1706 0.0000 [4 per cell]  4 Ho 3.48-3.61, 8 Tm 3.49-3.50
Ho 0.0000 0.3444 0.0000 [4 per cell]  3 Ho 3.48-3.61, 6 Tm 3.58-3.67, 4 Er 3.59
Ho 0.2414 0.0000 0.0000 [4 per cell]  4 Tm 3.48, 4 Ho 3.48-3.49, 4 Er 3.49
Ho 0.2468 0.1680 0.0000 [8 per cell]  2 Er 3.40, 4 Ho 3.41-3.49, 6 Tm 3.53-3.54
Er 0.1370 0.4157 0.5000 [8 per cell]  2 Tm 3.28-3.37, 6 Ho 3.40-3.59, 3 Er 3.48-3.50
Tm 0.0000 0.5000 0.5000 [2 per cell]  4 Er 3.28, 2 Tm 3.48, 4 Ho 3.67
Tm 0.1210 0.0852 0.5000 [8 per cell]  8 Ho 3.48-3.53, 4 Tm 3.48-3.54
Tm 0.1235 0.2538 0.5000 [8 per cell]  1 Er 3.37, 3 Tm 3.48-3.50, 8 Ho 3.50-3.58

- electronic total energy (eV per cell) = -214.87
- energy relative to the elements (eV per formula unit) = 1.4



A relaxed structure of HoEr2Tm8. Source: Alexandria, functional GGA-PBE.

Cell: 17.1034 5.3445 8.2168 Å, 90.00 116.67 90.00°
With the nearest neighbours (Å) after each atom.
Space group C2/m (No. 12)
Unique sites:
Ho 0.0000 0.0000 0.0000 [2 per cell]  12 Tm 3.26-3.63
Er 0.2025 0.5000 0.6596 [4 per cell]  10 Tm 3.18-3.53
Tm 0.0173 0.5000 0.7224 [4 per cell]  7 Tm 3.36-3.55, 2 Er 3.43-3.66, 2 Ho 3.61
Tm 0.1184 0.0000 0.4409 [4 per cell]  3 Er 3.18-3.51, 1 Ho 3.26, 3 Tm 3.40-3.42
Tm 0.1587 0.5000 0.1967 [4 per cell]  8 Tm 3.36-3.70, 3 Er 3.41-3.53, 2 Ho 3.63
Tm 0.1651 0.0000 0.8921 [4 per cell]  1 Ho 3.32, 3 Er 3.35-3.51, 6 Tm 3.40-3.70

- electronic total energy (eV per cell) = -96.60
- energy relative to the elements (eV per formula unit) = 1.2



A relaxed structure of HoEr2Tm7. Source: Alexandria, functional GGA-PBE.

Cell: 6.0344 6.9844 7.7929 Å, 77.15 74.97 73.32°
With the nearest neighbours (Å) after each atom.
Space group P-1 (No. 2)
Unique sites:
Ho 0.0000 0.0000 0.0000 [1 per cell]  10 Tm 3.48-3.50, 2 Er 3.49
Er 0.2001 0.2999 0.6001 [2 per cell]  10 Tm 3.48-3.49, 1 Ho 3.49, 1 Er 3.50
Tm 0.0000 0.5000 0.0000 [1 per cell]  8 Tm 3.48-3.49, 2 Er 3.48, 2 Ho 3.49
Tm 0.2001 0.7999 0.6000 [2 per cell]  4 Er 3.48-3.49, 7 Tm 3.48-3.50, 1 Ho 3.48
Tm 0.3999 0.1000 0.1999 [2 per cell]  8 Tm 3.48-3.49, 2 Ho 3.48, 2 Er 3.49
Tm 0.4002 0.5998 0.2001 [2 per cell]  8 Tm 3.48-3.49, 3 Er 3.48-3.49, 1 Ho 3.50

- energy relative to the lowest polymorph listed for this composition (eV per atom) = 0.000
- electronic total energy (eV per cell) = -44.74
- energy relative to the elements (eV per formula unit) = 0.3



A relaxed structure of Y4Ho2ErTm2. Source: Alexandria, functional GGA-PBE.

Cell: 18.5593 3.5714 9.4634 Å, 90.00 115.83 90.00°
With the nearest neighbours (Å) after each atom.
Space group C2/m (No. 12)
Unique sites:
Y 0.0185 0.0000 0.3340 [4 per cell]  5 Y 3.50-3.58, 1 Tm 3.51, 2 Er 3.51, 4 Ho 3.52-3.57
Y 0.1854 0.5000 0.3323 [4 per cell]  1 Er 3.51, 2 Tm 3.51, 6 Y 3.52-3.58, 3 Ho 3.53-3.56
Ho 0.1487 0.5000 0.6680 [4 per cell]  3 Tm 3.49-3.50, 7 Y 3.52-3.57, 2 Ho 3.57
Er 0.0000 0.5000 0.0000 [2 per cell]  6 Y 3.51, 2 Er 3.57, 4 Tm 3.58
Tm 0.1669 0.0000 0.9987 [4 per cell]  3 Ho 3.49-3.50, 3 Y 3.51, 4 Tm 3.55-3.57, 2 Er 3.58

- electronic total energy (eV per cell) = -96.92
- energy relative to the elements (eV per formula unit) = 0.1



A relaxed structure of Y2HoEr6Tm3. Source: Alexandria, functional GGA-PBE.

Cell: 6.0891 10.5310 11.6492 Å, 90.00 100.00 90.00°
With the nearest neighbours (Å) after each atom.
Space group C2/m (No. 12)
Unique sites:
Y 0.0000 0.1667 0.0000 [4 per cell]  3 Ho 3.51, 3 Y 3.51, 6 Er 3.53
Ho 0.0000 0.5000 0.0000 [2 per cell]  6 Y 3.51, 6 Er 3.53
Er 0.2483 0.5000 0.7480 [4 per cell]  3 Tm 3.49-3.50, 6 Er 3.51-3.52, 1 Ho 3.53, 2 Y 3.53
Er 0.2494 0.1663 0.7480 [8 per cell]  3 Tm 3.49-3.50, 6 Er 3.50-3.52, 1 Ho 3.53, 2 Y 3.53
Tm 0.0000 0.0000 0.5000 [2 per cell]  6 Er 3.49-3.50, 6 Tm 3.51
Tm 0.0000 0.3333 0.5000 [4 per cell]  6 Er 3.49-3.50, 6 Tm 3.51

- electronic total energy (eV per cell) = -115.98
- energy relative to the elements (eV per formula unit) = 0.3



A relaxed structure of Y3HoEr6Tm2. Source: Alexandria, functional GGA-PBE.

Cell: 6.1013 10.5536 11.6781 Å, 90.00 99.99 90.00°
With the nearest neighbours (Å) after each atom.
Space group C2/m (No. 12)
Unique sites:
Y 0.0000 0.0000 0.0000 [2 per cell]  6 Y 3.52, 6 Er 3.54
Y 0.0000 0.3332 0.0000 [4 per cell]  6 Y 3.52, 6 Er 3.54
Ho 0.0000 0.5000 0.5000 [2 per cell]  6 Er 3.50, 6 Tm 3.52
Er 0.2491 0.0000 0.7478 [4 per cell]  2 Tm 3.50, 1 Ho 3.50, 6 Er 3.52, 3 Y 3.54
Er 0.2493 0.3332 0.7478 [8 per cell]  2 Tm 3.50, 1 Ho 3.50, 6 Er 3.52, 3 Y 3.54
Tm 0.0000 0.1667 0.5000 [4 per cell]  6 Er 3.50, 3 Ho 3.52, 3 Tm 3.52

- electronic total energy (eV per cell) = -119.97
- energy relative to the elements (eV per formula unit) = 0.3



A relaxed structure of YHoErTm2. Source: Alexandria, functional GGA-PBE.

Cell: 6.2927 16.6248 6.2922 Å, 90.00 90.00 90.00°
With the nearest neighbours (Å) after each atom.
Space group Cmcm (No. 63)
Unique sites:
Y 0.0000 0.2499 0.2500 [4 per cell]  4 Ho 3.51-3.52, 4 Er 3.52
Ho 0.0000 0.1556 0.7500 [4 per cell]  1 Er 3.14, 4 Tm 3.41, 4 Y 3.51-3.52
Er 0.0000 0.3447 0.7500 [4 per cell]  1 Ho 3.14, 4 Tm 3.41, 4 Y 3.52
Tm 0.2500 0.0000 0.0000 [8 per cell]  4 Tm 3.15, 2 Er 3.41, 2 Ho 3.41

- electronic total energy (eV per cell) = -90.94
- energy relative to the elements (eV per formula unit) = 1.8



A relaxed structure of Y3Ho6ErTm2. Source: Alexandria, functional GGA-PBE.

Cell: 6.1136 10.5741 11.6932 Å, 90.00 99.99 90.00°
With the nearest neighbours (Å) after each atom.
Space group C2/m (No. 12)
Unique sites:
Y 0.0000 0.0000 0.0000 [2 per cell]  6 Y 3.52-3.53, 6 Ho 3.55
Y 0.0000 0.3333 0.0000 [4 per cell]  6 Y 3.52-3.53, 6 Ho 3.55
Ho 0.2492 0.0000 0.7475 [4 per cell]  1 Er 3.50, 2 Tm 3.50, 6 Ho 3.52-3.53, 3 Y 3.55
Ho 0.2494 0.3333 0.7475 [8 per cell]  2 Tm 3.50, 1 Er 3.50, 6 Ho 3.52-3.53, 3 Y 3.55
Er 0.0000 0.5000 0.5000 [2 per cell]  6 Ho 3.50, 6 Tm 3.52-3.53
Tm 0.0000 0.1667 0.5000 [4 per cell]  6 Ho 3.50, 3 Tm 3.52-3.53, 3 Er 3.52-3.53

- electronic total energy (eV per cell) = -120.16
- energy relative to the elements (eV per formula unit) = 0.3



A relaxed structure of YHoErTm3. Source: Alexandria, functional GGA-PBE.

Cell: 4.9642 14.9152 9.9158 Å, 90.00 90.00 90.00°
With the nearest neighbours (Å) after each atom.
Space group Cmcm (No. 63)
Unique sites:
Y 0.0000 0.1668 0.2500 [4 per cell]  8 Tm 3.51-3.52, 2 Ho 3.51, 2 Er 3.52
Ho 0.0000 0.0000 0.0000 [4 per cell]  6 Tm 3.50-3.51, 4 Er 3.51, 2 Y 3.51
Er 0.0000 0.4991 0.2500 [4 per cell]  6 Tm 3.50-3.52, 4 Ho 3.51, 2 Y 3.52
Tm 0.0000 0.1661 0.7500 [4 per cell]  2 Er 3.50, 2 Ho 3.50, 6 Tm 3.51-3.52, 2 Y 3.52
Tm 0.0000 0.3333 0.0002 [8 per cell]  2 Er 3.50-3.52, 5 Tm 3.51-3.52, 3 Y 3.51, 2 Ho 3.51

- electronic total energy (eV per cell) = -115.44
- energy relative to the elements (eV per formula unit) = 0.2



A relaxed structure of Y2HoEr2Tm2. Source: Alexandria, functional GGA-PBE.

Cell: 11.5456 3.4850 11.6900 Å, 90.00 110.04 90.00°
With the nearest neighbours (Å) after each atom.
Space group C2/m (No. 12)
Unique sites:
Y 0.1690 0.0000 0.0827 [4 per cell]  4 Tm 3.45-3.55, 5 Y 3.48-3.71, 2 Er 3.54
Ho 0.0000 0.5000 0.5000 [2 per cell]  4 Tm 3.46, 2 Ho 3.48, 6 Er 3.50-3.51
Er 0.2238 0.5000 0.3603 [4 per cell]  3 Tm 3.41-3.49, 4 Er 3.48-3.57, 3 Ho 3.50-3.51, 2 Y 3.54
Tm 0.0527 0.0000 0.7690 [4 per cell]  3 Er 3.41-3.49, 4 Y 3.45-3.55, 2 Ho 3.46, 2 Tm 3.48

- electronic total energy (eV per cell) = -69.89
- energy relative to the elements (eV per formula unit) = 0.6



A relaxed structure of Y4Ho2Er2Tm. Source: Alexandria, functional GGA-PBE.

Cell: 18.5615 3.5721 9.4729 Å, 90.00 115.81 90.00°
With the nearest neighbours (Å) after each atom.
Space group C2/m (No. 12)
Unique sites:
Y 0.0186 0.0000 0.3340 [4 per cell]  5 Y 3.50-3.58, 1 Er 3.51, 4 Ho 3.52-3.58, 2 Tm 3.52
Y 0.1854 0.5000 0.3324 [4 per cell]  1 Tm 3.51, 2 Er 3.52, 6 Y 3.52-3.58, 3 Ho 3.53-3.56
Ho 0.1486 0.5000 0.6675 [4 per cell]  3 Er 3.49-3.51, 7 Y 3.52-3.58, 2 Ho 3.57
Er 0.1666 0.0000 0.9984 [4 per cell]  3 Ho 3.49-3.51, 3 Y 3.51-3.52, 4 Er 3.56-3.57, 2 Tm 3.58
Tm 0.0000 0.5000 0.0000 [2 per cell]  6 Y 3.51-3.52, 2 Tm 3.57, 4 Er 3.58

- electronic total energy (eV per cell) = -97.12
- energy relative to the elements (eV per formula unit) = 0.0